(1)
Entry from Alexandria: a relaxed La2Sm3Tm6 crystal (PBE).

Cell lengths 6.169, 6.104, 11.663 Å; angles 85.57, 81.20, 59.65 degrees
Fractional coordinates of all 11 atoms:
Tm 0.408 0.667 0.754
Tm 0.592 0.333 0.246
Tm 0.741 0.000 0.751
Tm 0.259 0.000 0.249
Tm 0.925 0.667 0.246
Tm 0.075 0.333 0.754
Sm 0.664 0.672 0.000
Sm 0.000 0.000 0.000
Sm 0.336 0.328 0.000
La 0.825 0.351 0.500
La 0.175 0.649 0.500

Output
DFT total energy = -4.44 eV per atom
Spin magnetization = 0.000 μB per atom

(2)
Entry from Alexandria: a relaxed TlBrO2 crystal (PBE).

Cell lengths 6.930, 6.930, 5.922 Å; angles 54.19, 54.19, 90.00 degrees
Fractional coordinates of all 8 atoms:
Tl 0.250 0.250 0.500
Tl 0.750 0.750 0.500
O 0.868 0.368 0.000
O 0.368 0.132 0.000
O 0.132 0.632 0.000
O 0.632 0.868 0.000
Br 0.250 0.750 0.500
Br 0.750 0.250 0.500

Output
DFT total energy = -3.23 eV per atom
Spin magnetization = 0.000 μB per atom

(3)
Entry from Alexandria: a relaxed Sc4Si8Ir crystal (PBE).

Cell lengths 3.757, 3.860, 15.008 Å; angles 90.00, 90.00, 90.00 degrees
Fractional coordinates of all 13 atoms:
Si 0.500 0.000 0.572
Si 0.500 0.500 0.755
Si 0.000 0.500 0.938
Si 0.000 0.000 0.752
Si 0.500 0.000 0.222
Si 0.500 0.500 0.042
Si 0.000 0.500 0.225
Si 0.000 0.000 0.472
Sc 0.500 0.500 0.410
Sc 0.000 0.500 0.612
Sc 0.500 0.000 0.895
Sc 0.000 0.000 0.090
Ir 0.000 0.000 0.317

Output
DFT total energy = -6.53 eV per atom
Spin magnetization = 0.000 μB per atom

(4)
Entry from Alexandria: a relaxed HoCu crystal (PBE).

Cell lengths 3.449, 3.449, 3.449 Å; angles 90.00, 90.00, 90.00 degrees
Fractional coordinates of all 2 atoms:
Cu 0.500 0.500 0.500
Ho 0.000 0.000 0.000

Output
DFT total energy = -4.60 eV per atom
Spin magnetization = 0.000 μB per atom